1.
DFT (PBE) results for an optimized crystal structure of BSI3.

Unit cell a=5.0990 b=5.0990 c=5.0990 alpha=90.00 beta=90.00 gamma=90.00
Closest atoms and distances in Å follow each position.
Fractional coordinates of all 5 atoms:
I (0.0000, 0.5000, 0.0000)  2 B 2.55
I (0.0000, 0.0000, 0.5000)  2 B 2.55
I (0.5000, 0.0000, 0.0000)  2 B 2.55
S (0.5000, 0.5000, 0.5000)  12 I 3.61
B (0.0000, 0.0000, 0.0000)  6 I 2.55

- raw formation energy (eV per atom) = 1.08
- magnetic moment (μB per formula unit) = 1.57
- electronic total energy (eV/atom) = -2.013
- E above lowest polymorph (meV per atom) = 603
- volume (Å³/cell) = 132.6
- symmetry = Pm-3m (221)
- DOS at the Fermi energy (states/eV/cell) = 5.6

---

2.
DFT (PBE) results for an optimized crystal structure of BS3I.

Unit cell a=5.1077 b=5.1077 c=5.1077 alpha=90.00 beta=90.00 gamma=90.00
Closest atoms and distances in Å follow each position.
Fractional coordinates of all 5 atoms:
I (0.0000, 0.0000, 0.0000)  6 S 2.55
S (0.0000, 0.5000, 0.0000)  2 I 2.55
S (0.0000, 0.0000, 0.5000)  2 I 2.55
S (0.5000, 0.0000, 0.0000)  2 I 2.55
B (0.5000, 0.5000, 0.5000)  12 S 3.61

- raw formation energy (eV per atom) = 1.79
- magnetic moment (μB per formula unit) = 0.00
- electronic total energy (eV/atom) = -2.332
- E above lowest polymorph (meV per atom) = 1952
- volume (Å³/cell) = 133.3
- symmetry = Pm-3m (221)
- DOS at the Fermi energy (states/eV/cell) = 3.2

---

3.
DFT (PBE) results for an optimized crystal structure of B2S2I.

Unit cell a=6.4863 b=6.4863 c=6.3735 alpha=120.59 beta=120.59 gamma=90.00
Closest atoms and distances in Å follow each position.
Fractional coordinates of all 10 atoms:
B (0.4302, 0.5994, 0.8603)  3 S 1.90-1.97
B (0.5109, 0.1802, 0.3603)  3 S 1.90-1.97
B (0.8494, 0.1802, 0.3603)  3 S 1.90-1.97
B (0.4302, 0.2609, 0.8603)  3 S 1.90-1.97
S (0.6415, 0.9074, 0.2830)  3 B 1.90-1.97
S (0.6256, 0.3915, 0.7830)  3 B 1.90-1.97
S (0.1574, 0.3915, 0.7830)  3 B 1.90-1.97
S (0.6415, 0.3756, 0.2830)  3 B 1.90-1.97
I (0.0373, 0.0373, 0.0746)  2 B 2.49
I (0.2873, 0.7873, 0.5746)  2 B 2.49

- raw formation energy (eV per atom) = 0.11
- magnetic moment (μB per formula unit) = 0.00
- electronic total energy (eV/atom) = -4.521
- volume (Å³/cell) = 186.2
- symmetry = I4_1md (109)
- DOS at the Fermi energy (states/eV/cell) = 4.0

---

4.
DFT (PBE) results for an optimized crystal structure of B2SI.

Unit cell a=5.6831 b=5.6831 c=5.4989 alpha=58.89 beta=58.89 gamma=90.00
Closest atoms and distances in Å follow each position.
Fractional coordinates of all 8 atoms:
I (0.0000, 0.0000, 0.0000)  4 B 2.53
I (0.7500, 0.2500, 0.5000)  4 B 2.53
S (0.5000, 0.5000, 0.0000)  4 B 1.96
S (0.2500, 0.7500, 0.5000)  4 B 1.96
B (0.5461, 0.1250, 0.2500)  2 S 1.96
B (0.2039, 0.6250, 0.2500)  2 S 1.96
B (0.3750, 0.4539, 0.7500)  2 S 1.96
B (0.8750, 0.7961, 0.7500)  2 S 1.96

- raw formation energy (eV per atom) = 1.18
- magnetic moment (μB per formula unit) = 0.00
- electronic total energy (eV/atom) = -3.580
- E above lowest polymorph (meV per atom) = 0
- volume (Å³/cell) = 121.2
- symmetry = I-42d (122)
- DOS at the Fermi energy (states/eV/cell) = 4.1

---

5.
DFT (PBE) results for an optimized crystal structure of BSI.

Unit cell a=5.0673 b=8.0716 c=10.9088 alpha=42.41 beta=76.40 gamma=89.81
Closest atoms and distances in Å follow each position.
Fractional coordinates of all 6 atoms:
B (0.9014, 0.0544, 0.2155)  1 S 1.62
B (0.4451, 0.6523, 0.1366)  1 S 1.62
S (0.0182, 0.2774, 0.9811)  1 B 1.62
S (0.3279, 0.4290, 0.3711)  1 B 1.62
I (0.7542, 0.7731, 0.5110)  1 B 2.04
I (0.5927, 0.9341, 0.8411)  1 B 2.04

- raw formation energy (eV per atom) = 0.06
- magnetic moment (μB per formula unit) = 0.00
- electronic total energy (eV/atom) = -4.054
- E above lowest polymorph (meV per atom) = 139
- volume (Å³/cell) = 282.4
- symmetry = P-1 (2)
- DOS at the Fermi energy (states/eV/cell) = 0.0

---

6.
DFT (PBE) results for an optimized crystal structure of B2SI.

Unit cell a=4.3967 b=4.3967 c=4.3967 alpha=60.00 beta=60.00 gamma=60.00
Closest atoms and distances in Å follow each position.
Fractional coordinates of all 4 atoms:
I (0.5000, 0.5000, 0.5000)  8 B 2.69
S (0.0000, 0.0000, 0.0000)  8 B 2.69
B (0.2500, 0.2500, 0.2500)  4 I 2.69, 4 S 2.69
B (0.7500, 0.7500, 0.7500)  4 S 2.69, 4 I 2.69

- raw formation energy (eV per atom) = 2.06
- magnetic moment (μB per formula unit) = 0.00
- electronic total energy (eV/atom) = -2.697
- E above lowest polymorph (meV per atom) = 883
- volume (Å³/cell) = 60.1
- symmetry = Fm-3m (225)
- DOS at the Fermi energy (states/eV/cell) = 2.0

---

7.
DFT (PBE) results for an optimized crystal structure of B3SI.

Unit cell a=4.0454 b=4.0454 c=4.0454 alpha=90.00 beta=90.00 gamma=90.00
Closest atoms and distances in Å follow each position.
Fractional coordinates of all 5 atoms:
I (0.5000, 0.5000, 0.5000)  12 B 2.86
S (0.0000, 0.0000, 0.0000)  6 B 2.02
B (0.0000, 0.5000, 0.0000)  2 S 2.02
B (0.0000, 0.0000, 0.5000)  2 S 2.02
B (0.5000, 0.0000, 0.0000)  2 S 2.02

- raw formation energy (eV per atom) = 1.89
- magnetic moment (μB per formula unit) = 0.00
- electronic total energy (eV/atom) = -3.257
- E above lowest polymorph (meV per atom) = 0
- volume (Å³/cell) = 66.2
- symmetry = Pm-3m (221)
- DOS at the Fermi energy (states/eV/cell) = 1.5

---

8.
DFT (PBE) results for an optimized crystal structure of B2S3I2.

Unit cell a=2.9647 b=5.4574 c=12.5437 alpha=101.48 beta=77.02 gamma=105.70
Closest atoms and distances in Å follow each position.
Fractional coordinates of all 7 atoms:
B (0.6741, 0.2972, 0.9733)  3 S 1.97-1.99
B (0.3259, 0.7028, 0.0267)  3 S 1.97-1.99
S (0.0000, 0.0000, 0.0000)  4 B 2.21
S (0.6776, 0.5578, 0.1068)  3 B 1.97-1.99
S (0.3224, 0.4422, 0.8932)  3 B 1.97-1.99
I (0.8143, 0.8756, 0.6291)  2 I 2.96
I (0.1857, 0.1244, 0.3709)  2 I 2.96

- raw formation energy (eV per atom) = 0.18
- magnetic moment (μB per formula unit) = 0.00
- electronic total energy (eV/atom) = -3.938
- volume (Å³/cell) = 188.3
- symmetry = P-1 (2)
- DOS at the Fermi energy (states/eV/cell) = 3.5

---

9.
DFT (PBE) results for an optimized crystal structure of BS3I.

Unit cell a=5.8948 b=9.8376 c=10.3790 alpha=90.00 beta=90.00 gamma=105.43
Closest atoms and distances in Å follow each position.
Fractional coordinates of all 20 atoms:
B (0.7263, 0.2979, 0.7585)  4 S 1.88-2.02
B (0.2263, 0.2979, 0.7415)  4 S 1.88-2.02
B (0.7737, 0.7021, 0.2585)  4 S 1.88-2.02
B (0.2737, 0.7021, 0.2415)  4 S 1.88-2.02
S (0.2758, 0.1833, 0.5880)  1 B 2.02, 1 S 2.04
S (0.0237, 0.4104, 0.7019)  2 B 1.88-1.90
S (0.4164, 0.8576, 0.3573)  1 B 1.95, 1 S 2.04
S (0.9164, 0.8576, 0.1427)  1 B 1.95, 1 S 2.04
S (0.5237, 0.4104, 0.7981)  2 B 1.88-1.90
S (0.7758, 0.1833, 0.9120)  1 B 2.02, 1 S 2.04
S (0.9763, 0.5896, 0.2981)  2 B 1.88-1.90
S (0.0836, 0.1424, 0.8573)  1 B 1.95, 1 S 2.04
S (0.4763, 0.5896, 0.2019)  2 B 1.88-1.90
S (0.7242, 0.8167, 0.4120)  1 B 2.02, 1 S 2.04
S (0.2242, 0.8167, 0.0880)  1 B 2.02, 1 S 2.04
S (0.5836, 0.1424, 0.6427)  1 B 1.95, 1 S 2.04
I (0.6498, 0.6523, 0.6063)  1 S 2.55
I (0.3502, 0.3477, 0.3937)  1 S 2.55
I (0.8502, 0.3477, 0.1063)  1 S 2.55
I (0.1498, 0.6523, 0.8937)  1 S 2.55

- raw formation energy (eV per atom) = -0.16
- magnetic moment (μB per formula unit) = 0.00
- electronic total energy (eV/atom) = -4.284
- E above lowest polymorph (meV per atom) = 0
- volume (Å³/cell) = 580.2
- symmetry = P2_1/c (14)

---

10.
DFT (PBE) results for an optimized crystal structure of BS3I.

Unit cell a=4.3486 b=4.3486 c=4.3486 alpha=90.00 beta=90.00 gamma=90.00
Closest atoms and distances in Å follow each position.
Fractional coordinates of all 5 atoms:
I (0.5000, 0.5000, 0.5000)  12 S 3.07
S (0.0000, 0.5000, 0.0000)  2 B 2.17
S (0.0000, 0.0000, 0.5000)  2 B 2.17
S (0.5000, 0.0000, 0.0000)  2 B 2.17
B (0.0000, 0.0000, 0.0000)  6 S 2.17

- raw formation energy (eV per atom) = 0.88
- magnetic moment (μB per formula unit) = 0.00
- electronic total energy (eV/atom) = -3.242
- E above lowest polymorph (meV per atom) = 1042
- volume (Å³/cell) = 82.2
- symmetry = Pm-3m (221)
- DOS at the Fermi energy (states/eV/cell) = 3.2

---

11.
DFT (PBE) results for an optimized crystal structure of BS4I.

Unit cell a=15.6602 b=16.1488 c=5.0276 alpha=127.38 beta=77.44 gamma=142.60
Closest atoms and distances in Å follow each position.
Fractional coordinates of all 12 atoms:
B (0.3703, 0.6713, 0.8474)  2 S 1.62-1.75
B (0.6297, 0.3287, 0.1526)  2 S 1.62-1.75
S (0.9806, 0.6165, 0.4257)  2 S 1.97-2.16
S (0.1335, 0.8423, 0.0145)  1 S 1.97
S (0.2559, 0.6570, 0.7523)  1 B 1.75
S (0.4806, 0.6903, 0.9412)  1 B 1.62
S (0.0194, 0.3835, 0.5743)  2 S 1.97-2.16
S (0.7441, 0.3430, 0.2477)  1 B 1.75
S (0.8665, 0.1577, 0.9855)  1 S 1.97
S (0.5194, 0.3097, 0.0588)  1 B 1.62
I (0.9054, 0.0049, 0.6914)  1 S 2.49
I (0.0946, 0.9951, 0.3086)  1 S 2.49

- raw formation energy (eV per atom) = 0.05
- magnetic moment (μB per formula unit) = 0.00
- electronic total energy (eV/atom) = -4.075
- volume (Å³/cell) = 512.9
- symmetry = P-1 (2)
- DOS at the Fermi energy (states/eV/cell) = 0.0

---

12.
DFT (PBE) results for an optimized crystal structure of BSb2SI.

Unit cell a=4.9872 b=4.9872 c=4.7126 alpha=90.00 beta=90.00 gamma=90.00
Closest atoms and distances in Å follow each position.
Fractional coordinates of all 5 atoms:
I (0.0000, 0.0000, 0.5000)  2 B 2.36
Sb (0.0000, 0.5000, 0.0000)  2 B 2.49
Sb (0.5000, 0.0000, 0.0000)  2 B 2.49
S (0.5000, 0.5000, 0.5000)  8 Sb 3.43, 4 I 3.53
B (0.0000, 0.0000, 0.0000)  2 I 2.36, 4 Sb 2.49

- raw formation energy (eV per atom) = 0.91
- magnetic moment (μB per formula unit) = 0.00
- electronic total energy (eV/atom) = -3.212
- E above lowest polymorph (meV per atom) = 0
- volume (Å³/cell) = 117.2
- symmetry = P4/mmm (123)
- DOS at the Fermi energy (states/eV/cell) = 3.4

---

13.
DFT (PBE) results for an optimized crystal structure of BSbSI2.

Unit cell a=4.7856 b=4.7856 c=5.4008 alpha=90.00 beta=90.00 gamma=90.00
Closest atoms and distances in Å follow each position.
Fractional coordinates of all 5 atoms:
I (0.0000, 0.5000, 0.0000)  2 B 2.39
I (0.5000, 0.0000, 0.0000)  2 B 2.39
Sb (0.0000, 0.0000, 0.5000)  2 B 2.70
S (0.5000, 0.5000, 0.5000)  4 Sb 3.38, 8 I 3.61
B (0.0000, 0.0000, 0.0000)  4 I 2.39

- raw formation energy (eV per atom) = 0.99
- magnetic moment (μB per formula unit) = 0.00
- electronic total energy (eV/atom) = -2.619
- E above lowest polymorph (meV per atom) = 0
- volume (Å³/cell) = 123.7
- symmetry = P4/mmm (123)
- DOS at the Fermi energy (states/eV/cell) = 4.8